(1)
# FeRuAu2

Crystalline FeRuAu2 at its relaxed geometry (PBE-GGA, Alexandria).

Unit cell a=3.0198 b=4.6414 c=9.0624 alpha=90.00 beta=90.00 gamma=90.00
Last column: nearest neighbours and their distance in Å.
Fractional coordinates of all 8 atoms:
Fe  0.0000  0.0000  0.0000  2 Ru 2.42, 2 Au 2.69
Fe  0.5000  0.5000  0.5000  2 Ru 2.42, 2 Au 2.69
Ru  0.0000  0.5000  0.7086  2 Fe 2.42
Ru  0.5000  0.0000  0.2086  2 Fe 2.42
Au  0.0000  0.0000  0.4796  4 Fe 2.77, 2 Ru 2.88, 6 Au 2.91-3.09
Au  0.0000  0.5000  0.2542  2 Fe 2.69, 4 Ru 2.80, 2 Au 2.91
Au  0.5000  0.0000  0.7542  2 Fe 2.69, 4 Ru 2.80, 2 Au 2.91
Au  0.5000  0.5000  0.9796  4 Fe 2.77, 2 Ru 2.88, 6 Au 2.91-3.09

For the density of states at the Fermi level, the calculation gives 6.77 states/eV per cell. The energy of formation from the pure elements is 1.3 eV/f.u.

---

(2)
# Fe2RuAu

Crystalline Fe2RuAu at its relaxed geometry (PBE-GGA, Alexandria).

Unit cell a=2.7348 b=3.6973 c=5.5519 alpha=90.00 beta=90.00 gamma=90.00
Last column: nearest neighbours and their distance in Å.
Fractional coordinates of all 4 atoms:
Fe  0.0000  0.0000  0.2180  1 Fe 2.42, 4 Ru 2.60
Fe  0.0000  0.0000  0.7820  1 Fe 2.42, 4 Ru 2.60
Ru  0.5000  0.5000  0.0000  8 Fe 2.60, 2 Ru 2.73, 2 Au 2.78
Au  0.5000  0.5000  0.5000  2 Au 2.73, 2 Ru 2.78, 8 Fe 2.78

For the density of states at the Fermi level, the calculation gives 4.38 states/eV per cell. The energy of formation from the pure elements is 0.8 eV/f.u.

---

(3)
# Fe2RuAu

Crystalline Fe2RuAu at its relaxed geometry (PBE-GGA, Alexandria).

Unit cell a=6.1407 b=6.1407 c=6.1407 alpha=90.00 beta=90.00 gamma=90.00
Last column: nearest neighbours and their distance in Å.
Fractional coordinates of all 16 atoms:
Fe  0.0000  0.0000  0.0000  4 Fe 2.66, 4 Au 2.66
Fe  0.0000  0.5000  0.5000  4 Fe 2.66, 4 Au 2.66
Fe  0.2500  0.2500  0.2500  4 Fe 2.66, 4 Ru 2.66
Fe  0.2500  0.7500  0.7500  4 Fe 2.66, 4 Ru 2.66
Fe  0.5000  0.0000  0.5000  4 Fe 2.66, 4 Au 2.66
Fe  0.5000  0.5000  0.0000  4 Fe 2.66, 4 Au 2.66
Fe  0.7500  0.2500  0.7500  4 Fe 2.66, 4 Ru 2.66
Fe  0.7500  0.7500  0.2500  4 Fe 2.66, 4 Ru 2.66
Ru  0.0000  0.0000  0.5000  4 Fe 2.66, 4 Au 2.66
Ru  0.0000  0.5000  0.0000  4 Fe 2.66, 4 Au 2.66
Ru  0.5000  0.0000  0.0000  4 Fe 2.66, 4 Au 2.66
Ru  0.5000  0.5000  0.5000  4 Fe 2.66, 4 Au 2.66
Au  0.2500  0.2500  0.7500  4 Fe 2.66, 4 Ru 2.66
Au  0.2500  0.7500  0.2500  4 Fe 2.66, 4 Ru 2.66
Au  0.7500  0.2500  0.2500  4 Fe 2.66, 4 Ru 2.66
Au  0.7500  0.7500  0.7500  4 Fe 2.66, 4 Ru 2.66

For the density of states at the Fermi level, the calculation gives 16.62 states/eV per cell. The energy of formation from the pure elements is 1.5 eV/f.u.

---

(4)
# FeRuAu3

Crystalline FeRuAu3 at its relaxed geometry (PBE-GGA, Alexandria).

Unit cell a=4.7392 b=4.7392 c=4.7392 alpha=90.00 beta=90.00 gamma=90.00
Last column: nearest neighbours and their distance in Å.
Fractional coordinates of all 5 atoms:
Fe  0.0000  0.0000  0.0000  6 Au 2.37
Ru  0.5000  0.5000  0.5000  12 Au 3.35
Au  0.0000  0.0000  0.5000  2 Fe 2.37
Au  0.0000  0.5000  0.0000  2 Fe 2.37
Au  0.5000  0.0000  0.0000  2 Fe 2.37

For the density of states at the Fermi level, the calculation gives 5.37 states/eV per cell. The energy of formation from the pure elements is 6.3 eV/f.u.

---

(5)
# Fe2RuAu

Crystalline Fe2RuAu at its relaxed geometry (PBE-GGA, Alexandria).

Unit cell a=2.7625 b=2.7625 c=25.8514 alpha=90.00 beta=90.00 gamma=120.00
Last column: nearest neighbours and their distance in Å.
Fractional coordinates of all 12 atoms:
Fe  0.0000  0.0000  0.0000  9 Fe 2.48-2.76, 3 Au 2.77
Fe  0.0000  0.0000  0.2597  9 Fe 2.48-2.76, 3 Ru 2.55
Fe  0.3333  0.6667  0.6667  9 Fe 2.48-2.76, 3 Au 2.77
Fe  0.3333  0.6667  0.9264  9 Fe 2.48-2.76, 3 Ru 2.55
Fe  0.6667  0.3333  0.3333  9 Fe 2.48-2.76, 3 Au 2.77
Fe  0.6667  0.3333  0.5931  9 Fe 2.48-2.76, 3 Ru 2.55
Ru  0.0000  0.0000  0.5163  3 Fe 2.55, 6 Ru 2.76
Ru  0.3333  0.6667  0.1829  3 Fe 2.55, 6 Ru 2.76
Ru  0.6667  0.3333  0.8496  3 Fe 2.55, 6 Ru 2.76
Au  0.0000  0.0000  0.7544  6 Au 2.76, 3 Fe 2.77, 3 Ru 2.93
Au  0.3333  0.6667  0.4211  6 Au 2.76, 3 Fe 2.77, 3 Ru 2.93
Au  0.6667  0.3333  0.0878  6 Au 2.76, 3 Fe 2.77, 3 Ru 2.93

For the density of states at the Fermi level, the calculation gives 10.92 states/eV per cell. The energy of formation from the pure elements is 1.0 eV/f.u.

---

(6)
# FeRuAu4

Crystalline FeRuAu4 at its relaxed geometry (PBE-GGA, Alexandria).

Unit cell a=5.3837 b=5.3837 c=5.3837 alpha=60.00 beta=60.00 gamma=60.00
Last column: nearest neighbours and their distance in Å.
Fractional coordinates of all 6 atoms:
Fe  0.0000  0.0000  0.0000  12 Au 3.16, 4 Ru 3.30
Ru  0.7500  0.7500  0.7500  12 Au 3.16, 4 Fe 3.30
Au  0.3749  0.3749  0.3749  6 Au 2.69
Au  0.3749  0.3749  0.8753  6 Au 2.69
Au  0.3749  0.8753  0.3749  6 Au 2.69
Au  0.8753  0.3749  0.3749  6 Au 2.69

For the density of states at the Fermi level, the calculation gives 6.35 states/eV per cell. The energy of formation from the pure elements is 4.0 eV/f.u.

---

(7)
# Fe2RuAu

Crystalline Fe2RuAu at its relaxed geometry (PBE-GGA, Alexandria).

Unit cell a=5.5325 b=7.4822 c=2.7181 alpha=90.00 beta=90.00 gamma=90.00
Last column: nearest neighbours and their distance in Å.
Fractional coordinates of all 8 atoms:
Fe  0.2500  0.2500  0.0000  4 Ru 2.69, 4 Au 2.69, 4 Fe 2.72-2.77
Fe  0.2500  0.7500  0.0000  4 Ru 2.69, 4 Au 2.69, 4 Fe 2.72-2.77
Fe  0.7500  0.2500  0.0000  4 Ru 2.69, 4 Au 2.69, 4 Fe 2.72-2.77
Fe  0.7500  0.7500  0.0000  4 Au 2.69, 4 Ru 2.69, 4 Fe 2.72-2.77
Ru  0.0000  0.0000  0.5000  8 Fe 2.69, 2 Ru 2.72, 2 Au 2.77
Ru  0.5000  0.5000  0.5000  8 Fe 2.69, 2 Ru 2.72, 2 Au 2.77
Au  0.0000  0.5000  0.5000  8 Fe 2.69, 2 Au 2.72, 2 Ru 2.77
Au  0.5000  0.0000  0.5000  8 Fe 2.69, 2 Au 2.72, 2 Ru 2.77

For the density of states at the Fermi level, the calculation gives 7.89 states/eV per cell. The energy of formation from the pure elements is 1.0 eV/f.u.

---

(8)
# FeRuAu2

Crystalline FeRuAu2 at its relaxed geometry (PBE-GGA, Alexandria).

Unit cell a=5.5759 b=8.1549 c=2.7668 alpha=90.00 beta=90.00 gamma=90.00
Last column: nearest neighbours and their distance in Å.
Fractional coordinates of all 8 atoms:
Fe  0.0000  0.0000  0.0000  2 Fe 2.77, 2 Ru 2.79, 8 Au 2.83
Fe  0.5000  0.5000  0.0000  2 Fe 2.77, 2 Ru 2.79, 8 Au 2.83
Ru  0.0000  0.5000  0.0000  2 Ru 2.77, 2 Fe 2.79, 8 Au 2.83
Ru  0.5000  0.0000  0.0000  2 Ru 2.77, 2 Fe 2.79, 8 Au 2.83
Au  0.2500  0.2500  0.5000  4 Au 2.77-2.79, 4 Fe 2.83, 4 Ru 2.83
Au  0.2500  0.7500  0.5000  4 Au 2.77-2.79, 4 Fe 2.83, 4 Ru 2.83
Au  0.7500  0.2500  0.5000  4 Au 2.77-2.79, 4 Ru 2.83, 4 Fe 2.83
Au  0.7500  0.7500  0.5000  4 Au 2.77-2.79, 4 Fe 2.83, 4 Ru 2.83

For the density of states at the Fermi level, the calculation gives 7.21 states/eV per cell. The energy of formation from the pure elements is 1.3 eV/f.u.

---

(9)
# Fe2RuAu

Crystalline Fe2RuAu at its relaxed geometry (PBE-GGA, Alexandria).

Unit cell a=6.6279 b=6.6279 c=5.3449 alpha=90.00 beta=90.00 gamma=90.00
Last column: nearest neighbours and their distance in Å.
Fractional coordinates of all 16 atoms:
Fe  0.2089  0.2500  0.1250  2 Ru 2.26
Fe  0.2500  0.7089  0.3750  2 Ru 2.26
Fe  0.2500  0.7911  0.8750  2 Ru 2.26
Fe  0.2911  0.2500  0.6250  2 Ru 2.26
Fe  0.7089  0.7500  0.6250  2 Ru 2.26
Fe  0.7500  0.2089  0.8750  2 Ru 2.26
Fe  0.7500  0.2911  0.3750  2 Ru 2.26
Fe  0.7911  0.7500  0.1250  2 Ru 2.26
Ru  0.0000  0.0000  0.0000  4 Fe 2.26
Ru  0.0000  0.5000  0.2500  4 Fe 2.26
Ru  0.5000  0.0000  0.7500  4 Fe 2.26
Ru  0.5000  0.5000  0.5000  4 Fe 2.26
Au  0.0000  0.0000  0.5000  4 Fe 2.63, 2 Ru 2.67
Au  0.0000  0.5000  0.7500  4 Fe 2.63, 2 Ru 2.67
Au  0.5000  0.0000  0.2500  4 Fe 2.63, 2 Ru 2.67
Au  0.5000  0.5000  0.0000  4 Fe 2.63, 2 Ru 2.67

For the density of states at the Fermi level, the calculation gives 20.51 states/eV per cell. The energy of formation from the pure elements is 3.2 eV/f.u.

---

(10)
# Fe2RuAu

Crystalline Fe2RuAu at its relaxed geometry (PBE-GGA, Alexandria).

Unit cell a=6.1309 b=6.1309 c=6.1309 alpha=90.00 beta=90.00 gamma=90.00
Last column: nearest neighbours and their distance in Å.
Fractional coordinates of all 16 atoms:
Fe  0.2500  0.2500  0.2500  4 Ru 2.65, 4 Au 2.65
Fe  0.2500  0.2500  0.7500  4 Ru 2.65, 4 Au 2.65
Fe  0.2500  0.7500  0.2500  4 Ru 2.65, 4 Au 2.65
Fe  0.2500  0.7500  0.7500  4 Ru 2.65, 4 Au 2.65
Fe  0.7500  0.2500  0.2500  4 Ru 2.65, 4 Au 2.65
Fe  0.7500  0.2500  0.7500  4 Ru 2.65, 4 Au 2.65
Fe  0.7500  0.7500  0.2500  4 Ru 2.65, 4 Au 2.65
Fe  0.7500  0.7500  0.7500  4 Ru 2.65, 4 Au 2.65
Ru  0.0000  0.0000  0.0000  8 Fe 2.65
Ru  0.0000  0.5000  0.5000  8 Fe 2.65
Ru  0.5000  0.0000  0.5000  8 Fe 2.65
Ru  0.5000  0.5000  0.0000  8 Fe 2.65
Au  0.0000  0.0000  0.5000  8 Fe 2.65
Au  0.0000  0.5000  0.0000  8 Fe 2.65
Au  0.5000  0.0000  0.0000  8 Fe 2.65
Au  0.5000  0.5000  0.5000  8 Fe 2.65

For the density of states at the Fermi level, the calculation gives 20.95 states/eV per cell. The energy of formation from the pure elements is 1.1 eV/f.u.

---

(11)
# FeRuAu2

Crystalline FeRuAu2 at its relaxed geometry (PBE-GGA, Alexandria).

Unit cell a=2.7416 b=4.1100 c=5.5908 alpha=90.00 beta=90.23 gamma=90.00
Last column: nearest neighbours and their distance in Å.
Fractional coordinates of all 4 atoms:
Fe  0.0000  0.0000  0.0000  2 Fe 2.74, 2 Ru 2.80, 8 Au 2.83
Ru  0.0000  0.0000  0.5000  2 Ru 2.74, 2 Fe 2.80, 8 Au 2.84-2.85
Au  0.4996  0.5000  0.2476  4 Au 2.74-2.82, 4 Fe 2.83, 4 Ru 2.84-2.85
Au  0.5004  0.5000  0.7524  4 Au 2.74-2.82, 4 Fe 2.83, 4 Ru 2.84-2.85

For the density of states at the Fermi level, the calculation gives 4.48 states/eV per cell. The energy of formation from the pure elements is 1.4 eV/f.u.

---

(12)
# FeRuAu2

Crystalline FeRuAu2 at its relaxed geometry (PBE-GGA, Alexandria).

Unit cell a=9.3492 b=2.7845 c=4.9321 alpha=90.00 beta=102.09 gamma=90.00
Last column: nearest neighbours and their distance in Å.
Fractional coordinates of all 8 atoms:
Fe  0.0000  0.0000  0.0000  2 Ru 2.58, 5 Au 2.77-2.87, 2 Fe 2.78
Fe  0.5000  0.5000  0.0000  2 Ru 2.58, 5 Au 2.77-2.87, 2 Fe 2.78
Ru  0.2727  0.0000  0.7775  2 Fe 2.58, 5 Au 2.77-2.84, 2 Ru 2.78
Ru  0.7727  0.5000  0.7775  2 Fe 2.58, 5 Au 2.77-2.84, 2 Ru 2.78
Au  0.0152  0.5000  0.5224  4 Fe 2.77-2.91, 5 Au 2.78-2.91, 3 Ru 2.81-2.84
Au  0.2504  0.5000  0.2530  4 Ru 2.77-2.91, 3 Fe 2.78-2.87, 5 Au 2.78-2.91
Au  0.5152  0.0000  0.5224  4 Fe 2.77-2.91, 5 Au 2.78-2.91, 3 Ru 2.81-2.84
Au  0.7504  0.0000  0.2530  4 Ru 2.77-2.91, 3 Fe 2.78-2.87, 5 Au 2.78-2.91

For the density of states at the Fermi level, the calculation gives 8.75 states/eV per cell. The energy of formation from the pure elements is 1.2 eV/f.u.

---

(13)
# FeRuAu2

Crystalline FeRuAu2 at its relaxed geometry (PBE-GGA, Alexandria).

Unit cell a=2.8151 b=2.8151 c=27.3936 alpha=90.00 beta=90.00 gamma=120.00
Last column: nearest neighbours and their distance in Å.
Fractional coordinates of all 12 atoms:
Fe  0.0000  0.0000  0.0000  6 Au 2.75, 6 Fe 2.82
Fe  0.3333  0.6667  0.6667  6 Au 2.75, 6 Fe 2.82
Fe  0.6667  0.3333  0.3333  6 Au 2.75, 6 Fe 2.82
Ru  0.0000  0.0000  0.5000  6 Ru 2.82, 6 Au 2.86
Ru  0.3333  0.6667  0.1667  6 Ru 2.82, 6 Au 2.86
Ru  0.6667  0.3333  0.8333  6 Ru 2.82, 6 Au 2.86
Au  0.0000  0.0000  0.2525  3 Fe 2.75, 6 Au 2.82, 3 Ru 2.86
Au  0.0000  0.0000  0.7475  3 Fe 2.75, 6 Au 2.82, 3 Ru 2.86
Au  0.3333  0.6667  0.4141  3 Fe 2.75, 6 Au 2.82, 3 Ru 2.86
Au  0.3333  0.6667  0.9192  3 Fe 2.75, 6 Au 2.82, 3 Ru 2.86
Au  0.6667  0.3333  0.0808  3 Fe 2.75, 6 Au 2.82, 3 Ru 2.86
Au  0.6667  0.3333  0.5859  3 Fe 2.75, 6 Au 2.82, 3 Ru 2.86

For the density of states at the Fermi level, the calculation gives 12.10 states/eV per cell. The energy of formation from the pure elements is 1.5 eV/f.u.

---

(14)
# FeRuAu2

Crystalline FeRuAu2 at its relaxed geometry (PBE-GGA, Alexandria).

Unit cell a=2.8005 b=2.8005 c=8.0229 alpha=90.00 beta=90.00 gamma=90.00
Last column: nearest neighbours and their distance in Å.
Fractional coordinates of all 4 atoms:
Fe  0.0000  0.0000  0.0000  8 Au 2.76, 4 Fe 2.80
Ru  0.0000  0.0000  0.5000  4 Ru 2.80, 8 Au 2.87
Au  0.5000  0.5000  0.2405  4 Fe 2.76, 4 Au 2.80, 4 Ru 2.87
Au  0.5000  0.5000  0.7595  4 Fe 2.76, 4 Au 2.80, 4 Ru 2.87

For the density of states at the Fermi level, the calculation gives 2.90 states/eV per cell. The energy of formation from the pure elements is 1.3 eV/f.u.

---

Looking at uncorrected energy for the records above, in order, we have -0.212; -0.263; -0.257; -0.156; -0.262; -0.165; -0.262; -0.212; -0.241; -0.261; -0.211; -0.212; -0.210; -0.211 hartree per atom.